[1]
# HgHPb3

Crystalline HgHPb3 at its relaxed geometry (PBE, the Alexandria database).

CIF file:
```
data_HgHPb3
_cell_length_a 5.792
_cell_length_b 5.792
_cell_length_c 5.792
_cell_angle_alpha 90.00
_cell_angle_beta 90.00
_cell_angle_gamma 90.00
_space_group_name_H-M_alt 'P m -3 m'
_space_group_IT_number 221
_space_group_name_Hall '-P 4 2 3'
loop_
_atom_site_label
_atom_site_type_symbol
_atom_site_fract_x
_atom_site_fract_y
_atom_site_fract_z
Hg1 Hg 0.000 0.000 0.000
H1 H 0.500 0.500 0.500
Pb1 Pb 0.000 0.000 0.500
```

Calculated values
- Crystal system: cubic
- E above lowest polymorph: 68.74 kJ per mole of atoms
- Density of states at the Fermi level: 3.57 states/eV/f.u.

=====

[2]
# Pm2NiSe

Crystalline Pm2NiSe at its relaxed geometry (PBE, the Alexandria database).

CIF file:
```
data_Pm2NiSe
_cell_length_a 4.0352
_cell_length_b 4.0352
_cell_length_c 21.7215
_cell_angle_alpha 90.00
_cell_angle_beta 90.00
_cell_angle_gamma 120.00
_space_group_name_H-M_alt 'R 3 m'
_space_group_IT_number 160
_space_group_name_Hall 'R 3 -2"'
loop_
_atom_site_label
_atom_site_type_symbol
_atom_site_fract_x
_atom_site_fract_y
_atom_site_fract_z
Pm1 Pm 0.0000 0.0000 0.0000
Pm2 Pm 0.0000 0.0000 0.1865
Ni1 Ni 0.0000 0.0000 0.5930
Se1 Se 0.0000 0.0000 0.4262
```

Calculated values
- Crystal system: trigonal
- E above lowest polymorph: 9.14 kJ per mole of atoms
- Formation energy without anion corrections: -0.96 eV per atom
- Density of states at the Fermi level: 1.34 states/eV/f.u.

=====

- Which of these has the lowest density of states at the Fermi level?
  Pm2NiSe

=====

- Among the records above, which one has the lowest density of states at the Fermi level?
  Pm2NiSe

=====

Copy entry 2 word for word.
# Pm2NiSe

Crystalline Pm2NiSe at its relaxed geometry (PBE, the Alexandria database).

CIF file:
```
data_Pm2NiSe
_cell_length_a 4.0352
_cell_length_b 4.0352
_cell_length_c 21.7215
_cell_angle_alpha 90.00
_cell_angle_beta 90.00
_cell_angle_gamma 120.00
_space_group_name_H-M_alt 'R 3 m'
_space_group_IT_number 160
_space_group_name_Hall 'R 3 -2"'
loop_
_atom_site_label
_atom_site_type_symbol
_atom_site_fract_x
_atom_site_fract_y
_atom_site_fract_z
Pm1 Pm 0.0000 0.0000 0.0000
Pm2 Pm 0.0000 0.0000 0.1865
Ni1 Ni 0.0000 0.0000 0.5930
Se1 Se 0.0000 0.0000 0.4262
```

Calculated values
- Crystal system: trigonal
- E above lowest polymorph: 9.14 kJ per mole of atoms
- Formation energy without anion corrections: -0.96 eV per atom
- Density of states at the Fermi level: 1.34 states/eV/f.u.